A geometry-optimized LaTcO5 structure, computed with PBE-GGA.

Calculated values
Crystal system   monoclinic
ΔE_f (raw)   -2062 meV/atom

Cell lengths 9.0140, 9.8058, 8.6256 Å; angles 90.00, 117.45, 90.00 degrees
Last column: nearest neighbours and their distance in Å.
Space group C2/c (No. 15)
Asymmetric unit:
La 0.0000 0.0000 0.0000 (multiplicity 4)  2 O 2.18
Tc 0.0000 0.3612 0.2500 (multiplicity 4)  4 O 1.74-1.75
O 0.0000 0.0344 0.7500 (multiplicity 4)  2 La 2.18
O 0.0074 0.2579 0.0890 (multiplicity 8)  1 Tc 1.75
O 0.1788 0.4627 0.3436 (multiplicity 8)  1 Tc 1.74

A geometry-optimized PrZn12Au4 structure, computed with PBE-GGA.

Calculated values
Crystal system   cubic
Uncorrected energy   -1.963 eV/atom

Cell lengths 8.8706, 8.8706, 8.8706 Å; angles 90.00, 90.00, 90.00 degrees
Last column: nearest neighbours and their distance in Å.
Space group Im-3 (No. 204)
Asymmetric unit:
Pr 0.0000 0.0000 0.0000 (multiplicity 2)  12 Zn 3.42
Zn 0.0000 0.3566 0.1466 (multiplicity 24)  2 Zn 2.54-2.60, 2 Au 2.58
Au 0.2500 0.2500 0.2500 (multiplicity 8)  6 Zn 2.58

A geometry-optimized Tb12Cu6Pb structure, computed with PBE-GGA.

Calculated values
Crystal system   cubic
Uncorrected energy   -4.617 eV/atom

Cell lengths 9.9385, 9.9385, 9.9385 Å; angles 90.00, 90.00, 90.00 degrees
Last column: nearest neighbours and their distance in Å.
Space group Im-3 (No. 204)
Asymmetric unit:
Tb 0.0000 0.1889 0.3007 (multiplicity 24)  3 Cu 2.72-2.99
Cu 0.0000 0.3769 0.5000 (multiplicity 12)  1 Cu 2.45, 2 Tb 2.72
Pb 0.0000 0.0000 0.0000 (multiplicity 2)  12 Tb 3.53

A geometry-optimized Tb5Dy4Er2 structure, computed with PBE-GGA.

Calculated values
Crystal system   monoclinic
Uncorrected energy   -4.543 eV/atom

Cell lengths 22.0707, 3.6369, 9.1051 Å; angles 90.00, 107.99, 90.00 degrees
Last column: nearest neighbours and their distance in Å.
Space group C2/m (No. 12)
Asymmetric unit:
Tb 0.0000 0.0000 0.0000 (multiplicity 2)  4 Dy 3.37, 6 Tb 3.44-3.64
Tb 0.1264 0.5000 0.2297 (multiplicity 4)  6 Tb 3.40-3.64, 2 Er 3.44, 3 Dy 3.51-3.64
Tb 0.2368 0.5000 0.6635 (multiplicity 4)  2 Er 3.36, 6 Tb 3.40-3.69, 3 Dy 3.64-3.70
Dy 0.0232 0.5000 0.7104 (multiplicity 4)  4 Er 3.31-3.47, 3 Tb 3.37-3.51, 5 Dy 3.64-3.70
Dy 0.1692 0.0000 0.9300 (multiplicity 4)  1 Er 3.49, 6 Dy 3.64-3.85, 5 Tb 3.64-3.70
Er 0.1031 0.0000 0.5289 (multiplicity 4)  5 Dy 3.31-3.49, 4 Tb 3.36-3.44, 2 Er 3.64

A geometry-optimized Mn4PbW structure, computed with PBE-GGA.

Calculated values
Crystal system   cubic
Uncorrected energy   -8.512 eV/atom

Cell lengths 6.9187, 6.9187, 6.9187 Å; angles 90.00, 90.00, 90.00 degrees
Last column: nearest neighbours and their distance in Å.
Space group F-43m (No. 216)
Asymmetric unit:
Mn 0.1251 0.1251 0.1251 (multiplicity 16)  6 Mn 2.44-2.45
Pb 0.2500 0.2500 0.7500 (multiplicity 4)  12 Mn 2.87, 4 W 3.00
W 0.0000 0.0000 0.5000 (multiplicity 4)  12 Mn 2.87, 4 Pb 3.00

A geometry-optimized BaSr3Pd structure, computed with PBE-GGA.

Calculated values
Crystal system   triclinic
Uncorrected energy   -2.717 eV/atom

Cell lengths 7.5699, 8.4130, 8.7433 Å; angles 104.65, 90.08, 116.03 degrees
Last column: nearest neighbours and their distance in Å.
Space group P1 (No. 1)
Asymmetric unit:
Ba 0.0000 0.0000 0.0000 (multiplicity 1)  2 Pd 3.17-3.18
Ba 0.4971 0.9987 0.7444 (multiplicity 1)  1 Pd 3.11
Sr 0.0118 0.0023 0.4947 (multiplicity 1)  2 Pd 3.07
Sr 0.0863 0.4977 0.3747 (multiplicity 1)  2 Pd 3.06-3.08
Sr 0.0875 0.5074 0.8674 (multiplicity 1)  1 Pd 3.03
Sr 0.4975 0.0048 0.2494 (multiplicity 1)  1 Pd 3.02
Sr 0.5780 0.4996 0.1301 (multiplicity 1)  1 Pd 3.02
Sr 0.5920 0.5014 0.6162 (multiplicity 1)  2 Pd 3.05-3.07
Pd 0.0417 0.7466 0.6788 (multiplicity 1)  4 Sr 3.03-3.07, 2 Ba 3.11-3.18
Pd 0.3009 0.2545 0.3144 (multiplicity 1)  5 Sr 3.02-3.08, 1 Ba 3.17